Entry 1:
First-principles (PBE-GGA) data for an optimized crystal structure of CaZrMo2, as listed in the Alexandria database.

Cell: 3.2557 3.2557 8.2644 Å, 90.00 90.00 90.00°
Space group P4mm (No. 99)
Symmetry-distinct sites (fractional):
Ca 0.0000 0.0000 0.0000
Zr 0.5000 0.5000 0.6446
Mo 0.0000 0.0000 0.4329
Mo 0.5000 0.5000 0.2705

=====

Entry 2:
First-principles (PBE-GGA) data for an optimized crystal structure of CaZrMo2, as listed in the Alexandria database.

Cell: 4.0851 4.0851 9.4903 Å, 90.00 90.00 90.00°
Space group I4/mmm (No. 139)
Symmetry-distinct sites (fractional):
Ca 0.0000 0.0000 0.0000
Zr 0.0000 0.0000 0.5000
Mo 0.0000 0.5000 0.2500

=====

Entry 3:
First-principles (PBE-GGA) data for an optimized crystal structure of CaZr2Mo, as listed in the Alexandria database.

Cell: 3.5627 4.8784 10.6907 Å, 90.00 90.00 90.00°
Space group Imm2 (No. 44)
Symmetry-distinct sites (fractional):
Ca 0.0000 0.0000 0.0000
Zr 0.0000 0.0000 0.4235
Zr 0.0000 0.5000 0.2227
Mo 0.0000 0.5000 0.7413

=====

Entry 4:
First-principles (PBE-GGA) data for an optimized crystal structure of Ca2ZrMo, as listed in the Alexandria database.

Cell: 3.1869 3.1869 33.5050 Å, 90.00 90.00 120.00°
Space group R-3m (No. 166, hexagonal axes)
Symmetry-distinct sites (fractional):
Ca 0.0000 0.0000 0.2425
Zr 0.0000 0.0000 0.0000
Mo 0.0000 0.0000 0.5000

=====

Energy of formation, record by record: 0.278; 0.742; 0.373; 0.741 eV per atom
Total magnetic moment, record by record: 0.000; 0.000; 0.000; 0.871 μB/f.u.
DFT total energy, record by record: -7.775; -7.311; -7.109; -5.104 eV per atom